The following is a PBEsol calculation of crystalline CsRb2IrPt at its relaxed geometry, from Alexandria via LeMat-Bulk.

Crystal system: tetragonal
N(E_F) in states/eV per cell: 4.90

a b c (Å): 6.730 6.730 5.280
angles (deg): 90.00 90.00 90.00
Positions (direct):
1 Cs 0.000 0.000 0.000
2 Rb 0.000 0.500 0.000
3 Rb 0.500 0.000 0.000
4 Ir 0.500 0.500 0.500
5 Pt 0.000 0.000 0.500

=====

The following is a PBEsol calculation of crystalline CsTa2IrPt at its relaxed geometry, from Alexandria via LeMat-Bulk.

Crystal system: tetragonal
N(E_F) in states/eV per cell: 5.87

a b c (Å): 4.857 4.857 5.221
angles (deg): 90.00 90.00 90.00
Positions (direct):
1 Cs 0.000 0.000 0.000
2 Ta 0.000 0.500 0.500
3 Ta 0.500 0.000 0.500
4 Ir 0.500 0.500 0.500
5 Pt 0.500 0.500 0.000

=====

The following is a PBEsol calculation of crystalline CsZnIrPt2 at its relaxed geometry, from Alexandria via LeMat-Bulk.

Crystal system: tetragonal
N(E_F) in states/eV per cell: 4.24

a b c (Å): 4.795 4.795 6.381
angles (deg): 90.00 90.00 90.00
Positions (direct):
1 Cs 0.000 0.000 0.000
2 Zn 0.500 0.500 0.000
3 Ir 0.000 0.000 0.500
4 Pt 0.000 0.500 0.500
5 Pt 0.500 0.000 0.500

=====

The calculation returns the following spin magnetization values, one per record and in order: 0.301, 0.358, 0.000 μB/atom.
The calculation returns the following energy relative to the elements values, one per record and in order: 1.63, 1.24, 1.17 eV per atom.